# 1
Computed, not measured: Ac2TiHg after structural relaxation at the PBE level of DFT.

Properties
- ρ: 8.646 g/cm³
- Formation energy: 477 meV/atom

Lattice parameters (Å, degrees): 3.6321 3.6321 11.9942 81.29 81.29 60.00
Fractional coordinates of all 4 atoms:
1 Ac 0.0892 0.0892 0.7323
2 Ac 0.9108 0.9108 0.2677
3 Hg 0.5000 0.5000 0.5000
4 Ti 0.0000 0.0000 0.0000

# 2
Computed, not measured: CsPmTc2O7 after structural relaxation at the PBE level of DFT.

Properties
- Formation energy (no corrections): -1.873 eV/atom
- ρ: 5.793 g/cm³

Lattice parameters (Å, degrees): 3.9227 3.9227 10.9151 90.00 90.00 90.00
Fractional coordinates of all 11 atoms:
1 Cs 0.0000 0.0000 0.5000
2 Pm 0.0000 0.0000 0.0000
3 Tc 0.5000 0.5000 0.1900
4 Tc 0.5000 0.5000 0.8100
5 O 0.5000 0.5000 0.6471
6 O 0.0000 0.5000 0.1550
7 O 0.5000 0.0000 0.1550
8 O 0.0000 0.5000 0.8450
9 O 0.5000 0.0000 0.8450
10 O 0.5000 0.5000 0.3529
11 O 0.5000 0.5000 0.0000

# 3
Computed, not measured: NaLa2Ga after structural relaxation at the PBE level of DFT.

Properties
- ρ: 4.853 g/cm³
- Formation energy: -208 meV/atom

Lattice parameters (Å, degrees): 3.7142 3.7142 9.1895 90.00 90.00 90.00
Fractional coordinates of all 4 atoms:
1 Na 0.5000 0.5000 0.5000
2 Ga 0.5000 0.5000 0.0000
3 La 0.0000 0.0000 0.7991
4 La 0.0000 0.0000 0.2009

# 4
Computed, not measured: GaAsPb2 after structural relaxation at the PBE level of DFT.

Properties
- E above lowest polymorph: 0.00 eV per formula unit
- ρ: 6.874 g/cm³
- Formation energy: 128 meV/atom

Lattice parameters (Å, degrees): 6.4633 6.4633 7.9175 65.91 65.91 90.00
Fractional coordinates of all 8 atoms:
1 Pb 0.6190 0.1250 0.2500
2 Pb 0.1310 0.6250 0.2500
3 Pb 0.3750 0.3810 0.7500
4 Pb 0.8750 0.8690 0.7500
5 As 0.0000 0.0000 0.0000
6 As 0.7500 0.2500 0.5000
7 Ga 0.5000 0.5000 0.0000
8 Ga 0.2500 0.7500 0.5000

Number 1: E_tot -14.5 eV/cell. Number 2: E_tot -81.6 eV/cell. Number 3: E_tot -15.0 eV/cell. Number 4: E_tot -29.2 eV/cell.